No. 1
BaTaAu | Alexandria | GGA-PBE | relaxed; calculated formation energy = 1.675 eV per atom
1.0
0.000 3.792 3.792
3.792 0.000 3.792
3.792 3.792 0.000
Ba Ta Au
1 1 1
direct
0.000 0.000 0.000
0.250 0.250 0.250
0.750 0.750 0.750

No. 2
BaTaAu | Alexandria | GGA-PBE | relaxed; calculated formation energy = 2.143 eV per atom
1.0
1.161 -1.511 -5.036
-3.846 -2.564 2.761
-9.084 8.595 -4.674
Ba Ta Au
2 2 2
direct
0.000 0.000 0.750
0.000 0.000 0.250
0.000 0.000 0.500
0.000 0.000 0.000
0.667 0.333 0.750
0.333 0.667 0.250

No. 3
BaTaAu | Alexandria | GGA-PBE | relaxed; calculated formation energy = 0.024 eV per atom
1.0
-0.052 -2.360 -2.561
3.054 -1.260 1.101
-7.798 -6.743 8.652
Ta Au Ba
2 2 2
direct
0.988 0.394 0.811
0.436 0.842 0.702
0.545 0.951 0.929
0.878 0.286 0.583
0.131 0.536 0.108
0.293 0.700 0.404

No. 4
BaTaAu | Alexandria | GGA-PBE | relaxed; calculated formation energy = 0.164 eV per atom
1.0
-5.624 -3.300 3.771
3.231 -2.059 3.017
-0.561 7.464 5.696
Ba Ta Au
4 4 4
direct
0.081 0.250 0.845
0.581 0.250 0.655
0.419 0.750 0.345
0.919 0.750 0.155
0.463 0.750 0.950
0.963 0.750 0.550
0.537 0.250 0.050
0.037 0.250 0.450
0.780 0.750 0.816
0.220 0.250 0.184
0.280 0.750 0.684
0.720 0.250 0.316

No. 5
BaTaAu | Alexandria | GGA-PBE | relaxed; calculated formation energy = 0.248 eV per atom
1.0
-2.362 0.911 -2.363
1.580 -7.370 -1.885
-4.633 -2.266 3.753
Au Ba Ta
2 2 2
direct
0.310 0.437 0.434
0.690 0.197 0.185
0.364 0.545 0.934
0.008 0.835 0.420
0.692 0.201 0.651
0.108 0.032 0.912

No. 6
BaTaAu | Alexandria | GGA-PBE | relaxed; calculated formation energy = 0.659 eV per atom
1.0
-0.030 1.176 3.203
0.254 -3.352 -0.584
7.690 0.608 -0.152
Au Ba Ta
1 1 1
direct
0.000 0.000 0.959
0.333 0.667 0.333
0.667 0.333 0.708

No. 7
BaTaAu | Alexandria | GGA-PBE | relaxed; calculated formation energy = 0.370 eV per atom
1.0
4.500 0.000 0.000
-2.250 3.897 0.000
0.000 0.000 5.298
Au Ba Ta
1 1 1
direct
0.000 0.000 0.833
0.667 0.333 0.333
0.333 0.667 0.833

No. 8
BaTaAu4 | Alexandria | GGA-PBE | relaxed; calculated formation energy = 0.272 eV per atom
1.0
-3.540 -1.884 4.094
-4.828 -2.740 -1.424
-0.502 -5.623 0.989
Ta Au Ba
1 4 1
direct
0.000 0.000 0.000
0.374 0.374 0.878
0.374 0.374 0.374
0.374 0.878 0.374
0.878 0.374 0.374
0.750 0.750 0.750

No. 9
BaTaAu | Alexandria | GGA-PBE | relaxed; calculated formation energy = 0.078 eV per atom
1.0
4.175 0.000 0.004
0.000 3.799 0.000
-0.021 0.000 11.606
Ta Au Ba
2 2 2
direct
0.903 0.664 0.724
0.402 0.164 0.672
0.902 0.164 0.519
0.403 0.664 0.877
0.903 0.164 0.023
0.402 0.664 0.374

No. 10
BaTaAu | Alexandria | GGA-PBE | relaxed; calculated formation energy = 0.256 eV per atom
1.0
-1.442 -2.307 1.993
3.478 -1.775 0.462
2.797 7.970 9.445
Ba Ta Au
2 2 2
direct
0.660 0.944 0.405
0.344 0.447 0.094
0.286 0.446 0.814
0.305 0.445 0.608
0.799 0.946 0.923
0.804 0.945 0.693

No. 11
BaTaAu | Alexandria | GGA-PBE | relaxed; calculated formation energy = 0.181 eV per atom
1.0
3.776 0.001 0.001
-0.001 4.026 0.000
-1.864 2.002 12.004
Ba Ta Au
2 2 2
direct
0.695 0.341 0.033
0.361 0.676 0.359
0.562 0.472 0.771
0.983 0.552 0.610
0.470 0.065 0.584
0.092 0.942 0.832

No. 12
BaTaAu | Alexandria | GGA-PBE | relaxed; calculated formation energy = 0.198 eV per atom
1.0
-1.640 2.623 2.677
-3.253 -1.755 -0.273
3.233 -7.205 9.029
Ba Ta Au
2 2 2
direct
0.645 0.853 0.353
0.142 0.368 0.032
0.141 0.860 0.607
0.141 0.365 0.773
0.641 0.866 0.834
0.641 0.360 0.589